Record 1
## LaSmTl (GGA-PBE)

Data for a relaxed LaSmTl crystal.

Computed properties:
**Space-group type**: I4mm (107)
**Formation enthalpy at 0 K**: -0.2229 eV per atom
**Distance to the lowest polymorph of the same formula**: 0.0539 eV/atom

abc: 7.3164 7.3164 7.3164
angles: 149.98 149.98 42.97
Closest atoms and distances in Å follow each position.
Fractional positions:
La (0.0000, 0.0000, 0.0000)  4 Tl 3.48, 4 Sm 3.74, 4 La 3.79
Sm (0.3089, 0.3089, 0.0000)  4 Tl 3.34, 4 La 3.74
Tl (0.6629, 0.6629, 0.0000)  4 Sm 3.34, 4 La 3.48

---

Record 2
## Pa2SbRh (GGA-PBE)

Data for a relaxed Pa2SbRh crystal.

Computed properties:
**Space-group type**: P2_1/m (11)
**Distance to the lowest polymorph of the same formula**: 0.0000 eV/atom
**Formation energy without anion corrections**: -579.4 meV per atom

abc: 6.2580 3.9707 8.2882
angles: 90.00 109.83 90.00
Closest atoms and distances in Å follow each position.
Fractional positions:
Pa (0.1542, 0.2500, 0.3869)  2 Rh 2.81, 1 Sb 3.11
Pa (0.2506, 0.7500, 0.0513)  2 Rh 2.82
Pa (0.7494, 0.2500, 0.9487)  2 Rh 2.82
Pa (0.8458, 0.7500, 0.6131)  2 Rh 2.81, 1 Sb 3.11
Sb (0.3952, 0.7500, 0.6928)  2 Rh 2.81, 1 Pa 3.11
Sb (0.6048, 0.2500, 0.3072)  2 Rh 2.81, 1 Pa 3.11
Rh (0.1502, 0.2500, 0.7954)  2 Sb 2.81, 4 Pa 2.81-2.82
Rh (0.8498, 0.7500, 0.2046)  2 Sb 2.81, 4 Pa 2.81-2.82

---

Record 3
## HfCu2Ag2 (GGA-PBE)

Data for a relaxed HfCu2Ag2 crystal.

Computed properties:
**Space-group type**: P4/mbm (127)
**Formation enthalpy at 0 K**: 0.1258 eV per atom
**Distance to the lowest polymorph of the same formula**: 0.0000 eV/atom

abc: 7.1615 7.1615 3.2061
angles: 90.00 90.00 90.00
Closest atoms and distances in Å follow each position.
Fractional positions:
Hf (0.0000, 0.0000, 0.0000)  4 Cu 2.84, 8 Ag 3.09
Hf (0.5000, 0.5000, 0.0000)  4 Cu 2.84, 8 Ag 3.09
Cu (0.1226, 0.3774, 0.0000)  1 Cu 2.48, 6 Ag 2.61-2.69
Cu (0.3774, 0.8774, 0.0000)  1 Cu 2.48, 6 Ag 2.61-2.69
Cu (0.6226, 0.1226, 0.0000)  1 Cu 2.48, 6 Ag 2.61-2.69
Cu (0.8774, 0.6226, 0.0000)  1 Cu 2.48, 6 Ag 2.61-2.69
Ag (0.1745, 0.6745, 0.5000)  6 Cu 2.61-2.69
Ag (0.3255, 0.1745, 0.5000)  6 Cu 2.61-2.69
Ag (0.6745, 0.8255, 0.5000)  6 Cu 2.61-2.69
Ag (0.8255, 0.3255, 0.5000)  6 Cu 2.61-2.69

---

Record 4
## Zr2PaC (GGA-PBE)

Data for a relaxed Zr2PaC crystal.

Computed properties:
**Space-group type**: R-3m (166)
**Formation enthalpy at 0 K**: -0.3195 eV per atom

abc: 8.5302 8.5302 8.5302
angles: 22.27 22.27 22.27
Closest atoms and distances in Å follow each position.
Fractional positions:
Zr (0.2189, 0.2189, 0.2189)  3 C 2.31
Zr (0.7811, 0.7811, 0.7811)  3 C 2.31
Pa (0.0000, 0.0000, 0.0000)  6 Pa 3.29, 6 Zr 3.43
C (0.5000, 0.5000, 0.5000)  6 Zr 2.31

---

Record 5
## RbBiTe3 (GGA-PBE)

Data for a relaxed RbBiTe3 crystal.

Computed properties:
**Space-group type**: P2_1/m (11)
**Distance to the lowest polymorph of the same formula**: 0.0000 eV/atom
**Formation energy without anion corrections**: -359.3 meV per atom

abc: 9.1017 6.0194 9.2559
angles: 90.00 101.77 90.00
Closest atoms and distances in Å follow each position.
Fractional positions:
Rb (0.1781, 0.2500, 0.3867)  5 Te 3.62-3.99
Rb (0.8219, 0.7500, 0.6133)  5 Te 3.62-3.99
Bi (0.3244, 0.7500, 0.9158)  1 Te 2.79
Bi (0.6756, 0.2500, 0.0842)  1 Te 2.79
Te (0.0197, 0.7500, 0.0393)  3 Te 3.04-3.10, 1 Bi 3.21
Te (0.2331, 0.7500, 0.6087)  1 Bi 2.79
Te (0.3214, 0.2500, 0.0275)  1 Te 3.04, 3 Bi 3.16-3.18
Te (0.6786, 0.7500, 0.9725)  1 Te 3.04, 3 Bi 3.16-3.18
Te (0.7669, 0.2500, 0.3913)  1 Bi 2.79
Te (0.9803, 0.2500, 0.9607)  3 Te 3.04-3.10, 1 Bi 3.21

---

Record 6
## LaTbCu2 (GGA-PBE)

Data for a relaxed LaTbCu2 crystal.

Computed properties:
**Space-group type**: Pm (6)
**Formation enthalpy at 0 K**: -0.1940 eV per atom
**Distance to the lowest polymorph of the same formula**: 0.0000 eV/atom

abc: 3.8914 4.5378 5.6478
angles: 90.00 109.58 90.00
Closest atoms and distances in Å follow each position.
Fractional positions:
La (0.0000, 0.0000, 0.0000)  7 Cu 2.98-3.11
Tb (0.7192, 0.5000, 0.4367)  7 Cu 2.90-3.16
Cu (0.2891, 0.0000, 0.5732)  2 Cu 2.68, 2 La 2.98-3.00
Cu (0.4197, 0.5000, 0.8425)  2 Cu 2.68, 2 Tb 2.90-2.91

---

Record 7
## CdGa3Mo (GGA-PBE)

Data for a relaxed CdGa3Mo crystal.

Computed properties:
**Space-group type**: Pm-3m (221)
**Formation enthalpy at 0 K**: 0.4413 eV per atom
**Distance to the lowest polymorph of the same formula**: 0.0000 eV/atom

abc: 4.9506 4.9506 4.9506
angles: 90.00 90.00 90.00
Closest atoms and distances in Å follow each position.
Fractional positions:
Cd (0.0000, 0.0000, 0.0000)  12 Ga 3.50
Ga (0.0000, 0.5000, 0.5000)  2 Mo 2.48
Ga (0.5000, 0.0000, 0.5000)  2 Mo 2.48
Ga (0.5000, 0.5000, 0.0000)  2 Mo 2.48
Mo (0.5000, 0.5000, 0.5000)  6 Ga 2.48

---

Record 8
## UTi3 (GGA-PBE)

Data for a relaxed UTi3 crystal.

Computed properties:
**Space-group type**: Fm-3m (225)
**Formation enthalpy at 0 K**: 0.1571 eV per atom
**Distance to the lowest polymorph of the same formula**: 0.0548 eV/atom

abc: 4.6578 4.6578 4.6578
angles: 60.00 60.00 60.00
Closest atoms and distances in Å follow each position.
Fractional positions:
U (0.0000, 0.0000, 0.0000)  8 Ti 2.85
Ti (0.2500, 0.2500, 0.2500)  4 U 2.85, 4 Ti 2.85
Ti (0.5000, 0.5000, 0.5000)  8 Ti 2.85
Ti (0.7500, 0.7500, 0.7500)  4 U 2.85, 4 Ti 2.85

---

Record 9
## CaCdCl3 (GGA-PBE)

Data for a relaxed CaCdCl3 crystal.

Computed properties:
**Space-group type**: Pm-3m (221)
**Distance to the lowest polymorph of the same formula**: 0.3727 eV/atom
**Formation energy without anion corrections**: -1044.0 meV per atom

abc: 5.2878 5.2878 5.2878
angles: 90.00 90.00 90.00
Closest atoms and distances in Å follow each position.
Fractional positions:
Ca (0.0000, 0.0000, 0.0000)  12 Cl 3.74
Cd (0.5000, 0.5000, 0.5000)  6 Cl 2.64
Cl (0.0000, 0.5000, 0.5000)  2 Cd 2.64
Cl (0.5000, 0.0000, 0.5000)  2 Cd 2.64
Cl (0.5000, 0.5000, 0.0000)  2 Cd 2.64

---

Record 10
## LiYTi2V (GGA-PBE)

Data for a relaxed LiYTi2V crystal.

Computed properties:
**Space-group type**: P4/mmm (123)
**Formation enthalpy at 0 K**: 0.6780 eV per atom

abc: 4.6070 4.6070 5.4508
angles: 90.00 90.00 90.00
Closest atoms and distances in Å follow each position.
Fractional positions:
Li (0.0000, 0.0000, 0.0000)  4 Y 3.26, 8 Ti 3.57
Y (0.5000, 0.5000, 0.0000)  2 V 2.73
Ti (0.0000, 0.5000, 0.5000)  2 V 2.30
Ti (0.5000, 0.0000, 0.5000)  2 V 2.30
V (0.5000, 0.5000, 0.5000)  4 Ti 2.30

---

Record 11
## Sc2NbMo2 (GGA-PBE)

Data for a relaxed Sc2NbMo2 crystal.

Computed properties:
**Space-group type**: I4/mmm (139)
**Formation enthalpy at 0 K**: 0.6769 eV per atom
**Distance to the lowest polymorph of the same formula**: 0.4531 eV/atom

abc: 7.8185 7.8185 7.8185
angles: 152.62 152.62 39.11
Closest atoms and distances in Å follow each position.
Fractional positions:
Sc (0.0986, 0.0986, 0.0000)  4 Mo 2.90, 1 Sc 2.91, 4 Nb 2.99
Sc (0.9014, 0.9014, 0.0000)  4 Mo 2.90, 1 Sc 2.91, 4 Nb 2.99
Nb (0.5000, 0.5000, 0.0000)  8 Sc 2.99
Mo (0.2500, 0.7500, 0.5000)  4 Mo 2.62, 4 Sc 2.90
Mo (0.7500, 0.2500, 0.5000)  4 Mo 2.62, 4 Sc 2.90

---

Record 12
## KSbW2 (GGA-PBE)

Data for a relaxed KSbW2 crystal.

Computed properties:
**Space-group type**: C2/m (12)
**Formation energy without anion corrections**: 1374.7 meV per atom

abc: 6.3415 6.3415 2.7546
angles: 101.27 101.27 123.50
Closest atoms and distances in Å follow each position.
Fractional positions:
K (0.0000, 0.0000, 0.0000)  2 K 2.75, 2 Sb 3.00
Sb (0.5000, 0.5000, 0.0000)  2 Sb 2.75, 2 K 3.00
W (0.0000, 0.5000, 0.0000)  4 W 2.75-3.00
W (0.5000, 0.0000, 0.0000)  4 W 2.75-3.00

---

Record 13
## Sb4PbAu (GGA-PBE)

Data for a relaxed Sb4PbAu crystal.

Computed properties:
**Space-group type**: F-43m (216)
**Formation energy without anion corrections**: 307.9 meV per atom

abc: 6.2424 6.2424 6.2424
angles: 60.00 60.00 60.00
Closest atoms and distances in Å follow each position.
Fractional positions:
Sb (0.1242, 0.1242, 0.1242)  6 Sb 3.10-3.14
Sb (0.1242, 0.1242, 0.6273)  6 Sb 3.10-3.14
Sb (0.1242, 0.6273, 0.1242)  6 Sb 3.10-3.14
Sb (0.6273, 0.1242, 0.1242)  6 Sb 3.10-3.14
Pb (0.5000, 0.5000, 0.5000)  12 Sb 3.66, 4 Au 3.82
Au (0.7500, 0.7500, 0.7500)  12 Sb 3.66, 4 Pb 3.82

---

no.,energy (eV/cell)
1,-12.7
2,-65.6
3,-46.4
4,-37.1
5,-32.1
6,-18.5
7,-18.6
8,-34.3
9,-13.7
10,-29.9
11,-41.0
12,-25.6
13,-21.6